DFT (PBE) results for CaScIn3 after structural relaxation.

Computed properties:
- Formation energy: 0.12 eV/atom
- Total energy: -15.9 eV for the cell shown
- Energy relative to the lowest polymorph listed for this composition: 0.000 eV per atom
- V: 166.7 Å³ per cell

Cell lengths 5.504, 5.504, 5.504 Å; angles 90.00, 90.00, 90.00 degrees
Element x y z (fractional)
Ca: 0.000 0.000 0.000
Sc: 0.500 0.500 0.500
In: 0.000 0.500 0.500
In: 0.500 0.000 0.500
In: 0.500 0.500 0.000



DFT (PBE) results for CaScIn after structural relaxation.

Computed properties:
- Formation energy: -0.28 eV/atom
- Total energy: -23.8 eV for the cell shown
- Energy relative to the lowest polymorph listed for this composition: 0.045 eV per atom
- V: 163.2 Å³ per cell

Cell lengths 5.261, 3.761, 8.653 Å; angles 90.00, 107.54, 90.00 degrees
Element x y z (fractional)
Ca: 0.179 0.000 0.356
Ca: 0.821 0.000 0.644
Sc: 0.000 0.500 0.000
Sc: 0.500 0.000 0.000
In: 0.358 0.500 0.717
In: 0.642 0.500 0.283



DFT (PBE) results for CaScIn after structural relaxation.

Computed properties:
- Formation energy: -0.16 eV/atom
- Total energy: -11.5 eV for the cell shown
- Energy relative to the lowest polymorph listed for this composition: 0.169 eV per atom
- V: 83.1 Å³ per cell

Cell lengths 6.154, 6.154, 6.154 Å; angles 148.21, 137.04, 54.42 degrees
Element x y z (fractional)
Ca: 0.000 0.000 0.000
Sc: 0.295 0.295 0.000
In: 0.676 0.676 0.000



DFT (PBE) results for CaSc2In after structural relaxation.

Computed properties:
- Formation energy: -0.03 eV/atom
- Total energy: -17.5 eV for the cell shown
- V: 105.1 Å³ per cell

Cell lengths 6.348, 6.348, 3.242 Å; angles 102.10, 102.10, 118.19 degrees
Element x y z (fractional)
Ca: 0.000 0.000 0.000
Sc: 0.000 0.500 0.500
Sc: 0.500 0.000 0.500
In: 0.500 0.500 0.000



DFT (PBE) results for CaSc3In4 after structural relaxation.

Computed properties:
- Formation energy: -0.39 eV/atom
- Total energy: -35.1 eV for the cell shown
- V: 190.8 Å³ per cell

Cell lengths 8.890, 8.890, 8.890 Å; angles 33.51, 33.51, 33.51 degrees
Element x y z (fractional)
Ca: 0.000 0.000 0.000
Sc: 0.250 0.250 0.250
Sc: 0.500 0.500 0.500
Sc: 0.750 0.750 0.750
In: 0.127 0.127 0.127
In: 0.377 0.377 0.377
In: 0.623 0.623 0.623
In: 0.873 0.873 0.873



DFT (PBE) results for CaScIn2 after structural relaxation.

Computed properties:
- Formation energy: -0.27 eV/atom
- Total energy: -14.9 eV for the cell shown
- V: 104.4 Å³ per cell

Cell lengths 6.344, 6.344, 6.344 Å; angles 146.08, 132.36, 59.76 degrees
Element x y z (fractional)
Ca: 0.000 0.000 0.000
Sc: 0.271 0.771 0.500
In: 0.519 0.519 0.000
In: 0.741 0.241 0.500



- Which formula does entry 5 have?
  CaSc3In4